Entry 1:
{"formula": "CeEr6Tm3", "functional": "GGA-PBE", "state": "relaxed", "sg": "C2/m, No. 12", "delta_e_f_ev_per_atom": 0.360, "magnetic_moment_mub_per_atom": 0.189, "polymorph_energy_ev_per_atom": 0.199, "lattice_angstrom": [[5.770, 0.000, 2.772], [2.939, 7.022, 1.273], [-0.281, -1.955, 7.975]], "species": ["Ce", "Er", "Er", "Er", "Tm", "Er", "Er", "Tm", "Tm", "Er"], "frac_coords": [[0.500, 0.500, 0.500], [0.744, 0.464, 0.048], [0.685, 0.820, 0.324], [0.171, 0.820, 0.324], [0.000, 0.000, 0.000], [0.256, 0.536, 0.952], [0.315, 0.180, 0.676], [0.220, 0.286, 0.274], [0.780, 0.714, 0.726], [0.829, 0.180, 0.676]]}

=====

Entry 2:
{"formula": "HfInS3", "functional": "GGA-PBE", "state": "relaxed", "sg": "Pm-3m, No. 221", "e_tot_ev_per_atom": -4.683, "magnetic_moment_mub_per_atom": 0.000, "lattice_angstrom": [[4.864, 0.000, 0.000], [0.000, 4.864, 0.000], [0.000, 0.000, 4.864]], "species": ["Hf", "S", "S", "S", "In"], "frac_coords": [[0.500, 0.500, 0.500], [0.500, 0.000, 0.000], [0.000, 0.500, 0.000], [0.000, 0.000, 0.500], [0.000, 0.000, 0.000]]}

=====

Entry 3:
{"formula": "Sr2Li5Tl5", "functional": "GGA-PBE", "state": "relaxed", "sg": "Pmmm, No. 47", "delta_e_f_ev_per_atom": -0.248, "magnetic_moment_mub_per_atom": 0.000, "lattice_angstrom": [[4.934, 0.000, 0.000], [0.000, 5.828, 0.000], [0.000, 0.000, 11.025]], "species": ["Li", "Tl", "Tl", "Sr", "Li", "Li", "Li", "Tl", "Tl", "Tl", "Sr", "Li"], "frac_coords": [[0.500, 0.255, 0.246], [0.000, 0.500, 0.664], [0.000, 0.000, 0.187], [0.000, 0.000, 0.500], [0.500, 0.745, 0.246], [0.500, 0.500, 0.500], [0.500, 0.255, 0.754], [0.000, 0.000, 0.813], [0.500, 0.000, 0.000], [0.000, 0.500, 0.336], [0.000, 0.500, 0.000], [0.500, 0.745, 0.754]]}

=====

Entry 4:
{"formula": "Ca2CuAgRh", "functional": "GGA-PBE", "state": "relaxed", "sg": "P4/mmm, No. 123", "delta_e_f_ev_per_atom": 0.082, "magnetic_moment_mub_per_atom": 0.000, "lattice_angstrom": [[5.338, 0.000, 0.000], [0.000, 4.733, 0.000], [0.000, 0.000, 5.338]], "species": ["Cu", "Ca", "Rh", "Ca", "Ag"], "frac_coords": [[0.000, 0.500, 0.000], [0.000, 0.000, 0.500], [0.000, 0.000, 0.000], [0.500, 0.000, 0.000], [0.500, 0.500, 0.500]]}

=====

Entry 5:
{"formula": "La3Pr2Y8", "functional": "GGA-PBE", "state": "relaxed", "sg": "Cmmm, No. 65", "delta_e_f_ev_per_atom": 0.251, "magnetic_moment_mub_per_atom": 0.000, "polymorph_energy_ev_per_atom": 0.229, "lattice_angstrom": [[5.712, 0.000, 0.597], [0.000, 7.758, 0.000], [-1.076, -3.879, 10.265]], "species": ["Pr", "Y", "Pr", "Y", "Y", "Y", "La", "Y", "Y", "Y", "Y", "La", "La"], "frac_coords": [[0.500, 0.242, 0.483], [0.000, 0.134, 0.268], [0.500, 0.758, 0.517], [0.500, 0.398, 0.215], [0.000, 0.866, 0.732], [0.500, 0.183, 0.785], [0.000, 0.299, 0.000], [0.500, 0.602, 0.785], [0.000, 0.332, 0.663], [0.000, 0.668, 0.337], [0.500, 0.817, 0.215], [0.500, 0.000, 0.000], [0.000, 0.701, 0.000]]}

=====

Entry 6:
{"formula": "DyNpSi4", "functional": "GGA-PBE", "state": "relaxed", "sg": "Pbam, No. 55", "e_tot_ev_per_atom": -6.808, "magnetic_moment_mub_per_atom": 0.425, "lattice_angstrom": [[3.849, 0.000, 0.000], [0.000, 8.248, 0.000], [0.000, 0.000, 14.540]], "species": ["Si", "Si", "Si", "Dy", "Si", "Dy", "Dy", "Si", "Si", "Si", "Si", "Si", "Dy", "Si", "Si", "Np", "Np", "Np", "Si", "Si", "Si", "Si", "Np", "Si"], "frac_coords": [[0.500, 0.216, 0.813], [0.500, 0.496, 0.789], [0.500, 0.004, 0.289], [0.000, 0.423, 0.638], [0.500, 0.504, 0.211], [0.000, 0.077, 0.138], [0.000, 0.923, 0.862], [0.500, 0.165, 0.580], [0.500, 0.284, 0.313], [0.500, 0.132, 0.967], [0.500, 0.665, 0.920], [0.500, 0.632, 0.533], [0.000, 0.577, 0.362], [0.500, 0.996, 0.711], [0.500, 0.784, 0.187], [0.000, 0.598, 0.067], [0.000, 0.902, 0.567], [0.000, 0.098, 0.433], [0.500, 0.835, 0.420], [0.500, 0.335, 0.080], [0.500, 0.716, 0.687], [0.500, 0.868, 0.033], [0.000, 0.402, 0.933], [0.500, 0.368, 0.467]]}

=====

Entry 7:
{"formula": "Dy6Fe2Ge", "functional": "GGA-PBE", "state": "relaxed", "sg": "Immm, No. 71", "delta_e_f_ev_per_atom": -0.212, "magnetic_moment_mub_per_atom": 0.156, "lattice_angstrom": [[-3.024, -7.379, 2.288], [6.058, -0.871, -5.601], [3.270, 3.925, 6.537]], "species": ["Dy", "Dy", "Fe", "Dy", "Dy", "Dy", "Ge", "Dy", "Fe", "Dy", "Dy", "Fe", "Dy", "Fe", "Ge", "Dy", "Dy", "Dy"], "frac_coords": [[0.535, 0.719, 0.816], [0.701, 0.018, 0.317], [0.617, 0.000, 0.617], [0.299, 0.982, 0.683], [0.903, 0.719, 0.184], [0.701, 0.384, 0.683], [0.000, 0.500, 0.500], [0.465, 0.281, 0.184], [0.500, 0.609, 0.109], [0.205, 0.232, 0.437], [0.299, 0.616, 0.317], [0.500, 0.391, 0.891], [0.097, 0.281, 0.816], [0.383, 0.000, 0.383], [0.000, 0.000, 0.000], [0.795, 0.768, 0.563], [0.795, 0.232, 0.026], [0.205, 0.768, 0.974]]}

=====

Entry 8:
{"formula": "Na4Ca", "functional": "GGA-PBE", "state": "relaxed", "sg": "Fmmm, No. 69", "delta_e_f_ev_per_atom": 0.037, "magnetic_moment_mub_per_atom": 0.000, "polymorph_energy_ev_per_atom": 0.000, "lattice_angstrom": [[4.228, 0.000, 0.440], [2.114, 3.012, 0.220], [0.564, 0.000, 15.120]], "species": ["Na", "Na", "Na", "Na", "Ca"], "frac_coords": [[0.602, 0.000, 0.796], [0.398, 0.000, 0.204], [0.201, 0.000, 0.597], [0.799, 0.000, 0.403], [0.000, 0.000, 0.000]]}

=====

Entry 9:
{"formula": "Nd4Dy4In", "functional": "GGA-PBE", "state": "relaxed", "sg": "I4/mmm, No. 139", "delta_e_f_ev_per_atom": -0.071, "magnetic_moment_mub_per_atom": 0.000, "lattice_angstrom": [[4.959, 0.000, 0.000], [2.479, 7.618, 0.000], [2.479, 0.000, 7.618]], "species": ["Nd", "Dy", "Nd", "Dy", "In", "Nd", "Dy", "Nd", "Dy"], "frac_coords": [[0.338, 0.323, 0.000], [0.000, 0.664, 0.335], [0.338, 0.000, 0.323], [0.665, 0.335, 0.336], [0.000, 0.000, 0.000], [0.662, 0.677, 0.000], [0.335, 0.665, 0.664], [0.662, 0.000, 0.677], [0.000, 0.336, 0.665]]}

=====

Entry 10:
{"formula": "NbCr4W", "functional": "GGA-PBE", "state": "relaxed", "sg": "F-43m, No. 216", "delta_e_f_ev_per_atom": 0.004, "magnetic_moment_mub_per_atom": 0.000, "lattice_angstrom": [[4.865, 0.000, 0.000], [2.433, 4.213, 0.000], [2.433, 1.404, 3.972]], "species": ["Cr", "Nb", "Cr", "Cr", "W", "Cr"], "frac_coords": [[0.625, 0.625, 0.125], [0.250, 0.250, 0.250], [0.625, 0.625, 0.625], [0.125, 0.625, 0.625], [0.000, 0.000, 0.000], [0.625, 0.125, 0.625]]}

=====

Entry 11:
{"formula": "BaMg2HgRu", "functional": "GGA-PBE", "state": "relaxed", "sg": "P4/mmm, No. 123", "delta_e_f_ev_per_atom": 0.459, "magnetic_moment_mub_per_atom": 0.323, "lattice_angstrom": [[5.112, 0.000, 0.000], [0.000, 5.398, 0.000], [0.000, 0.000, 5.112]], "species": ["Hg", "Ru", "Mg", "Ba", "Mg"], "frac_coords": [[0.000, 0.000, 0.000], [0.000, 0.500, 0.000], [0.500, 0.000, 0.000], [0.500, 0.500, 0.500], [0.000, 0.000, 0.500]]}

=====

Entry 12:
{"formula": "Tl4Pb2S5", "functional": "GGA-PBE", "state": "relaxed", "sg": "R-3m, No. 166", "e_tot_ev_per_atom": -3.666, "magnetic_moment_mub_per_atom": 0.000, "lattice_angstrom": [[-0.833, -0.773, -4.437], [-3.568, -2.589, -1.243], [-12.813, 14.824, -2.542]], "species": ["S", "Tl", "Tl", "S", "Pb", "Tl", "Pb", "S", "S", "Tl", "S"], "frac_coords": [[0.220, 0.220, 0.339], [0.421, 0.421, 0.736], [0.312, 0.312, 0.065], [0.500, 0.500, 0.500], [0.860, 0.860, 0.420], [0.579, 0.579, 0.264], [0.140, 0.140, 0.580], [0.362, 0.362, 0.913], [0.638, 0.638, 0.087], [0.688, 0.688, 0.935], [0.780, 0.780, 0.661]]}

=====

Copy entry 7 word for word.
{"formula": "Dy6Fe2Ge", "functional": "GGA-PBE", "state": "relaxed", "sg": "Immm, No. 71", "delta_e_f_ev_per_atom": -0.212, "magnetic_moment_mub_per_atom": 0.156, "lattice_angstrom": [[-3.024, -7.379, 2.288], [6.058, -0.871, -5.601], [3.270, 3.925, 6.537]], "species": ["Dy", "Dy", "Fe", "Dy", "Dy", "Dy", "Ge", "Dy", "Fe", "Dy", "Dy", "Fe", "Dy", "Fe", "Ge", "Dy", "Dy", "Dy"], "frac_coords": [[0.535, 0.719, 0.816], [0.701, 0.018, 0.317], [0.617, 0.000, 0.617], [0.299, 0.982, 0.683], [0.903, 0.719, 0.184], [0.701, 0.384, 0.683], [0.000, 0.500, 0.500], [0.465, 0.281, 0.184], [0.500, 0.609, 0.109], [0.205, 0.232, 0.437], [0.299, 0.616, 0.317], [0.500, 0.391, 0.891], [0.097, 0.281, 0.816], [0.383, 0.000, 0.383], [0.000, 0.000, 0.000], [0.795, 0.768, 0.563], [0.795, 0.232, 0.026], [0.205, 0.768, 0.974]]}

=====

What did the tenth record say?
{"formula": "NbCr4W", "functional": "GGA-PBE", "state": "relaxed", "sg": "F-43m, No. 216", "delta_e_f_ev_per_atom": 0.004, "magnetic_moment_mub_per_atom": 0.000, "lattice_angstrom": [[4.865, 0.000, 0.000], [2.433, 4.213, 0.000], [2.433, 1.404, 3.972]], "species": ["Cr", "Nb", "Cr", "Cr", "W", "Cr"], "frac_coords": [[0.625, 0.625, 0.125], [0.250, 0.250, 0.250], [0.625, 0.625, 0.625], [0.125, 0.625, 0.625], [0.000, 0.000, 0.000], [0.625, 0.125, 0.625]]}